DFT (GGA-PBE) results for crystalline CaRe2Ni at its relaxed geometry.

Unit cell a=4.760 b=3.719 c=3.719 alpha=90.00 beta=90.00 gamma=90.00
Fractional positions:
Re1 0.000 0.000 0.000
Re2 0.000 0.500 0.500
Ni1 0.500 0.000 0.500
Ca1 0.500 0.500 0.000

Calculated values
* energy of formation: 0.61 eV/atom
* ΔE to the lowest computed polymorph: 0.3430 eV per atom



DFT (GGA-PBE) results for crystalline Ac5PrHg4 at its relaxed geometry.

Unit cell a=4.018 b=4.018 c=21.546 alpha=90.00 beta=90.00 gamma=90.00
Last column: magnetic moment on the atom in μB.
Fractional positions:
Pr1 0.000 0.000 0.000  -0.01
Ac1 0.500 0.500 0.121  0.01
Ac2 0.500 0.500 0.879  0.01
Ac3 0.500 0.500 0.311  0.08
Ac4 0.500 0.500 0.500  0.09
Ac5 0.500 0.500 0.689  0.08
Hg1 0.000 0.000 0.594  0.01
Hg2 0.000 0.000 0.214  0.01
Hg3 0.000 0.000 0.786  0.01
Hg4 0.000 0.000 0.406  0.01

Calculated values
* energy of formation: -0.37 eV/atom



DFT (GGA-PBE) results for crystalline CaTlAg4 at its relaxed geometry.

Unit cell a=5.679 b=5.679 c=5.679 alpha=60.00 beta=60.00 gamma=60.00
Fractional positions:
Ag1 0.625 0.625 0.625
Ag2 0.625 0.125 0.625
Ag3 0.625 0.625 0.125
Ag4 0.125 0.625 0.625
Ca1 0.250 0.250 0.250
Tl1 0.000 0.000 0.000

Calculated values
* energy of formation: -0.17 eV/atom



DFT (GGA-PBE) results for crystalline U2RuN at its relaxed geometry.

Unit cell a=3.355 b=3.355 c=7.133 alpha=76.40 beta=76.40 gamma=60.00
Fractional positions:
U1 0.236 0.236 0.292
U2 0.764 0.764 0.708
N1 0.500 0.500 0.500
Ru1 0.000 0.000 0.000

Calculated values
* formation energy from raw total energies: -565 meV/atom
* ΔE to the lowest computed polymorph: 0.0000 eV per atom